No. 1
VASP calculation (GGA-PBEsol) on crystalline Sr5Cd at its relaxed geometry.

abc: 4.5686 18.4078 6.2257
angles: 90.00 90.00 90.00
Last column: nearest neighbours and their distance in Å.
Space group Cmmm (No. 65)
One atom of each set of equivalent atoms:
Sr 0.0000 0.0000 0.0000  8 Sr 3.84-4.11, 4 Cd 3.86
Sr 0.0000 0.1454 0.5000  2 Cd 3.52, 4 Sr 3.88
Sr 0.0000 0.3325 0.0000  8 Sr 3.80-3.88
Cd 0.0000 0.5000 0.5000  8 Sr 3.52-3.86

## Properties
Energy of formation from the pure elements (eV per atom): -0.03
Total moment (μB per formula unit): 0.00
Calculated total energy (eV per formula unit): -10.6

---

No. 2
VASP calculation (GGA-PBEsol) on crystalline Sr2Cd at its relaxed geometry.

abc: 15.3403 15.3403 15.3403
angles: 90.00 90.00 90.00
Last column: nearest neighbours and their distance in Å.
Space group Fd-3m (No. 227, origin choice 2)
One atom of each set of equivalent atoms:
Sr 0.0000 0.0000 0.0000  6 Cd 3.30
Sr 0.0649 0.3750 0.8750  4 Cd 3.68-3.93, 10 Sr 3.93-4.12
Cd 0.0441 0.0441 0.2059  6 Sr 3.30-3.68, 3 Cd 3.51

## Properties
Energy of formation from the pure elements (eV per atom): -0.17
Total moment (μB per formula unit): 0.23
Calculated total energy (eV per formula unit): -5.4

---

No. 3
VASP calculation (GGA-PBEsol) on crystalline Sr2Cd at its relaxed geometry.

abc: 8.0662 8.0662 7.2450
angles: 90.00 90.00 90.00
Last column: nearest neighbours and their distance in Å.
Space group I4/mcm (No. 140)
One atom of each set of equivalent atoms:
Sr 0.1756 0.3244 0.0000  4 Cd 3.48
Cd 0.0000 0.0000 0.2500  8 Sr 3.48, 2 Cd 3.62

## Properties
Energy of formation from the pure elements (eV per atom): -0.20
Total moment (μB per formula unit): 0.00
Calculated total energy (eV per formula unit): -5.5

---

No. 4
VASP calculation (GGA-PBEsol) on crystalline Sr2Cd at its relaxed geometry.

abc: 14.2099 4.3050 9.4873
angles: 90.00 124.39 90.00
Last column: nearest neighbours and their distance in Å.
Space group C2/m (No. 12)
One atom of each set of equivalent atoms:
Sr 0.0900 0.0000 0.3795  4 Cd 3.36-3.46
Sr 0.1675 0.5000 0.0735  3 Cd 3.38-3.45
Cd 0.1183 0.5000 0.6734  1 Cd 3.10, 7 Sr 3.36-3.46

## Properties
Energy of formation from the pure elements (eV per atom): -0.19
Total moment (μB per formula unit): 0.00
Calculated total energy (eV per formula unit): -5.5

---

No. 5
VASP calculation (GGA-PBEsol) on crystalline SrCd11 at its relaxed geometry.

abc: 11.8410 11.8410 7.5979
angles: 90.00 90.00 90.00
Last column: nearest neighbours and their distance in Å.
Space group I4_1/amd (No. 141, origin choice 2)
One atom of each set of equivalent atoms:
Sr 0.0000 0.2500 0.3750  18 Cd 3.61-3.81
Cd 0.0000 0.0000 0.0000  10 Cd 2.91-3.11
Cd 0.0000 0.2500 0.8750  12 Cd 3.11-3.19
Cd 0.1207 0.0463 0.6743  8 Cd 2.86-3.19

## Properties
Energy of formation from the pure elements (eV per atom): -0.16
Total moment (μB per formula unit): 0.00
Calculated total energy (eV per formula unit): -17.0

---

No. 6
VASP calculation (GGA-PBEsol) on crystalline SrCd5 at its relaxed geometry.

abc: 8.6186 4.8780 6.9794
angles: 90.00 93.80 90.00
Last column: nearest neighbours and their distance in Å.
Space group C2/m (No. 12)
One atom of each set of equivalent atoms:
Sr 0.0000 0.0000 0.0000  14 Cd 3.42-3.49
Cd 0.0000 0.0000 0.5000  10 Cd 3.07-3.33
Cd 0.1496 0.5000 0.7225  6 Cd 2.84-3.14
Cd 0.1806 0.5000 0.2767  5 Cd 2.84-3.14

## Properties
Energy of formation from the pure elements (eV per atom): -0.19
Total moment (μB per formula unit): 0.00
Calculated total energy (eV per formula unit): -9.0

---

No. 7
VASP calculation (GGA-PBEsol) on crystalline SrCdTc2 at its relaxed geometry.

abc: 3.5849 3.5849 6.7425
angles: 90.00 90.00 90.00
Last column: nearest neighbours and their distance in Å.
Space group P4/mmm (No. 123)
One atom of each set of equivalent atoms:
Sr 0.0000 0.0000 0.0000  2 Cd 3.37, 8 Tc 3.40, 4 Sr 3.58
Cd 0.0000 0.0000 0.5000  8 Tc 2.77
Tc 0.5000 0.5000 0.3361  1 Tc 2.21

## Properties
Energy of formation from the pure elements (eV per atom): 0.77
Total moment (μB per formula unit): 0.33
Calculated total energy (eV per formula unit): -22.5

---

No. 8
VASP calculation (GGA-PBEsol) on crystalline SrCdTc2 at its relaxed geometry.

abc: 4.2506 4.2506 17.8621
angles: 90.00 90.00 120.00
Last column: nearest neighbours and their distance in Å.
Space group R3m (No. 160, hexagonal axes)
One atom of each set of equivalent atoms:
Sr 0.0000 0.0000 0.0000  4 Cd 3.33-3.70, 7 Tc 3.36-3.66
Cd 0.0000 0.0000 0.2071  6 Tc 2.77-2.83
Tc 0.0000 0.0000 0.4691  3 Tc 2.46
Tc 0.0000 0.0000 0.7948  3 Tc 2.46

## Properties
Energy of formation from the pure elements (eV per atom): 0.34
Total moment (μB per formula unit): 0.00
Calculated total energy (eV per formula unit): -24.2

---

Q: energy of formation from the pure elements of number 3 (Sr2Cd)?
A: -0.20 eV per atom

---

Q: Which value of total moment does entry 3 give?
A: 0.00 μB per formula unit

---

Q: Look up the total moment of the eighth one.
A: 0.00 μB per formula unit

---

Q: Which of these has the lowest energy of formation from the pure elements?
A: number 3